## Cu2RhBr (PBE)

Data for crystalline Cu2RhBr at its relaxed geometry.

Unit cell a=6.250 b=6.250 c=6.250 alpha=90.00 beta=90.00 gamma=90.00
Element x y z (fractional)
Cu (0.000, 0.000, 0.000)
Cu (0.000, 0.500, 0.500)
Cu (0.250, 0.250, 0.250)
Cu (0.250, 0.750, 0.750)
Cu (0.500, 0.000, 0.500)
Cu (0.500, 0.500, 0.000)
Cu (0.750, 0.250, 0.750)
Cu (0.750, 0.750, 0.250)
Rh (0.000, 0.000, 0.500)
Rh (0.000, 0.500, 0.000)
Rh (0.500, 0.000, 0.000)
Rh (0.500, 0.500, 0.500)
Br (0.250, 0.250, 0.750)
Br (0.250, 0.750, 0.250)
Br (0.750, 0.250, 0.250)
Br (0.750, 0.750, 0.750)

Values from the calculation:
VASP energy   -3.728 eV per atom
Energy above the lowest structure with this stoichiometry   306 meV/atom
N(E_F)   1.34 states/eV/atom
V   244 Å³ per cell
Uncorrected formation energy   0.576 eV per atom



## Cu2RhBr (PBE)

Data for crystalline Cu2RhBr at its relaxed geometry.

Unit cell a=3.098 b=3.098 c=23.132 alpha=90.00 beta=90.00 gamma=120.00
Element x y z (fractional)
Cu (0.000, 0.000, 0.247)
Cu (0.000, 0.000, 0.753)
Cu (0.333, 0.667, 0.420)
Cu (0.333, 0.667, 0.914)
Cu (0.667, 0.333, 0.086)
Cu (0.667, 0.333, 0.580)
Rh (0.000, 0.000, 0.500)
Rh (0.333, 0.667, 0.167)
Rh (0.667, 0.333, 0.833)
Br (0.000, 0.000, 0.000)
Br (0.333, 0.667, 0.667)
Br (0.667, 0.333, 0.333)

Values from the calculation:
VASP energy   -3.917 eV per atom
Energy above the lowest structure with this stoichiometry   117 meV/atom
N(E_F)   1.04 states/eV/atom
V   192 Å³ per cell
Uncorrected formation energy   0.387 eV per atom



## Cu2RhBr (PBE)

Data for crystalline Cu2RhBr at its relaxed geometry.

Unit cell a=3.129 b=3.129 c=6.352 alpha=90.00 beta=90.00 gamma=90.00
Element x y z (fractional)
Cu (0.000, 0.000, 0.000)
Cu (0.500, 0.500, 0.201)
Rh (0.000, 0.000, 0.415)
Br (0.500, 0.500, 0.705)

Values from the calculation:
VASP energy   -3.941 eV per atom
Energy above the lowest structure with this stoichiometry   93 meV/atom
N(E_F)   1.39 states/eV/atom
V   62 Å³ per cell
Uncorrected formation energy   0.363 eV per atom



## Cu3RhBr9 (PBE)

Data for crystalline Cu3RhBr9 at its relaxed geometry.

Unit cell a=10.008 b=10.008 c=12.508 alpha=122.31 beta=122.31 gamma=52.02
Element x y z (fractional)
Cu (0.037, 0.963, 0.500)
Cu (0.273, 0.496, 0.591)
Cu (0.496, 0.273, 0.091)
Cu (0.545, 0.705, 0.441)
Cu (0.705, 0.545, 0.941)
Cu (0.963, 0.037, 0.000)
Rh (0.021, 0.486, 0.765)
Rh (0.486, 0.021, 0.265)
Br (0.026, 0.774, 0.553)
Br (0.079, 0.177, 0.716)
Br (0.147, 0.347, 0.579)
Br (0.177, 0.079, 0.216)
Br (0.230, 0.817, 0.373)
Br (0.330, 0.425, 0.927)
Br (0.347, 0.147, 0.079)
Br (0.425, 0.330, 0.427)
Br (0.430, 0.657, 0.772)
Br (0.567, 0.705, 0.112)
Br (0.595, 0.922, 0.457)
Br (0.657, 0.430, 0.272)
Br (0.705, 0.567, 0.612)
Br (0.774, 0.026, 0.053)
Br (0.782, 0.971, 0.301)
Br (0.817, 0.230, 0.873)
Br (0.922, 0.595, 0.957)
Br (0.971, 0.782, 0.801)

Values from the calculation:
VASP energy   -2.912 eV per atom
N(E_F)   1.17 states/eV/atom
V   794 Å³ per cell
Uncorrected formation energy   -0.243 eV per atom



## Cu2RhBr (PBE)

Data for crystalline Cu2RhBr at its relaxed geometry.

Unit cell a=9.029 b=3.098 c=4.513 alpha=90.00 beta=99.61 gamma=90.00
Element x y z (fractional)
Cu (0.238, 0.000, 0.217)
Cu (0.262, 0.500, 0.783)
Cu (0.738, 0.500, 0.217)
Cu (0.762, 0.000, 0.783)
Rh (0.000, 0.500, 0.000)
Rh (0.500, 0.000, 0.000)
Br (0.000, 0.000, 0.500)
Br (0.500, 0.500, 0.500)

Values from the calculation:
VASP energy   -3.853 eV per atom
Energy above the lowest structure with this stoichiometry   181 meV/atom
N(E_F)   0.52 states/eV/atom
V   124 Å³ per cell
Uncorrected formation energy   0.451 eV per atom



## Cu2RhBr6 (PBE)

Data for crystalline Cu2RhBr6 at its relaxed geometry.

Unit cell a=7.902 b=7.902 c=9.059 alpha=103.50 beta=103.50 gamma=26.82
Element x y z (fractional)
Cu (0.170, 0.170, 0.369)
Cu (0.830, 0.830, 0.631)
Rh (0.500, 0.500, 0.000)
Br (0.043, 0.043, 0.842)
Br (0.343, 0.343, 0.834)
Br (0.351, 0.351, 0.454)
Br (0.649, 0.649, 0.546)
Br (0.657, 0.657, 0.166)
Br (0.957, 0.957, 0.158)

Values from the calculation:
VASP energy   -3.166 eV per atom
Energy above the lowest structure with this stoichiometry   0 meV/atom
N(E_F)   0.67 states/eV/atom
V   248 Å³ per cell
Uncorrected formation energy   -0.324 eV per atom



## Cu2RhBr (PBE)

Data for crystalline Cu2RhBr at its relaxed geometry.

Unit cell a=3.016 b=3.016 c=23.805 alpha=90.00 beta=90.00 gamma=120.00
Element x y z (fractional)
Cu (0.000, 0.000, 0.000)
Cu (0.000, 0.000, 0.258)
Cu (0.333, 0.667, 0.667)
Cu (0.333, 0.667, 0.925)
Cu (0.667, 0.333, 0.333)
Cu (0.667, 0.333, 0.591)
Rh (0.000, 0.000, 0.510)
Rh (0.333, 0.667, 0.177)
Rh (0.667, 0.333, 0.844)
Br (0.000, 0.000, 0.757)
Br (0.333, 0.667, 0.424)
Br (0.667, 0.333, 0.091)

Values from the calculation:
VASP energy   -3.866 eV per atom
Energy above the lowest structure with this stoichiometry   168 meV/atom
N(E_F)   0.88 states/eV/atom
V   187 Å³ per cell
Uncorrected formation energy   0.438 eV per atom



## Cu2RhBr (PBE)

Data for crystalline Cu2RhBr at its relaxed geometry.

Unit cell a=8.038 b=3.078 c=6.110 alpha=90.00 beta=100.18 gamma=90.00
Element x y z (fractional)
Cu (0.000, 0.000, 0.000)
Cu (0.242, 0.500, 0.168)
Cu (0.500, 0.500, 0.000)
Cu (0.742, 0.000, 0.168)
Rh (0.481, 0.000, 0.336)
Rh (0.981, 0.500, 0.336)
Br (0.101, 0.000, 0.649)
Br (0.601, 0.500, 0.649)

Values from the calculation:
VASP energy   -4.028 eV per atom
Energy above the lowest structure with this stoichiometry   6 meV/atom
N(E_F)   0.91 states/eV/atom
V   149 Å³ per cell
Uncorrected formation energy   0.276 eV per atom